Computed, not measured: a geometry-optimized LaPr2Nd3P6 structure at the PBE level of DFT.

Results
* E_form: -1537 meV per atom
* energy: -6.641 eV/atom
* calculated density: 5.498 g/cm³

a b c (Å): 7.271 12.593 7.271
angles (deg): 90.00 109.45 90.00
Space group C2/m (No. 12)
Asymmetric unit:
La  0.000  0.000  0.000 [2 per cell]
Pr  0.000  0.333  0.000 [4 per cell]
Nd  0.000  0.167  0.500 [4 per cell]
Nd  0.000  0.500  0.500 [2 per cell]
P  0.249  0.333  0.747 [8 per cell]
P  0.250  0.000  0.747 [4 per cell]